No. 1
Crystalline Cs2Nb3O8F at its relaxed geometry. Source: Alexandria via LeMat-Bulk, functional PBE-GGA.

Geometry as CIF:
```
data_Cs2Nb3O8F
_symmetry_space_group_name_H-M 'R 3 m'
_symmetry_Int_Tables_number 160
_symmetry_space_group_name_Hall 'R 3 -2"'
_cell_length_a 6.1928
_cell_length_b 6.1928
_cell_length_c 27.5314
_cell_angle_alpha 90.00
_cell_angle_beta 90.00
_cell_angle_gamma 120.00
loop_
_atom_site_label
_atom_site_type_symbol
_atom_site_fract_x
_atom_site_fract_y
_atom_site_fract_z
Cs1 Cs 0.0000 0.0000 0.0000
Cs2 Cs 0.0000 0.0000 0.4129
Nb1 Nb 0.0007 0.5003 0.5319
O1 O 0.0000 0.0000 0.2391
O2 O 0.0000 0.0000 0.8249
O3 O 0.0320 0.5160 0.8284
O4 O 0.1846 0.3693 0.5692
F1 F 0.0000 0.0000 0.7042
```

Output
formation energy (no corrections) = -2303 meV per atom
magnetic moment = 0.06 μB/f.u.



No. 2
Crystalline Cs2NbPF6 at its relaxed geometry. Source: Alexandria via LeMat-Bulk, functional PBE-GGA.

Geometry as CIF:
```
data_Cs2NbPF6
_symmetry_space_group_name_H-M 'I 4/m m m'
_symmetry_Int_Tables_number 139
_symmetry_space_group_name_Hall '-I 4 2'
_cell_length_a 5.9781
_cell_length_b 5.9781
_cell_length_c 11.6331
_cell_angle_alpha 90.00
_cell_angle_beta 90.00
_cell_angle_gamma 90.00
loop_
_atom_site_label
_atom_site_type_symbol
_atom_site_fract_x
_atom_site_fract_y
_atom_site_fract_z
Cs1 Cs 0.0000 0.5000 0.2500
Nb1 Nb 0.0000 0.0000 0.0000
P1 P 0.0000 0.0000 0.5000
F1 F 0.0000 0.0000 0.1778
F2 F 0.2468 0.2468 0.5000
```

Output
N(E_F) = 0.63 states/eV/atom
formation energy (no corrections) = -2178 meV per atom
magnetic moment = 2.00 μB/f.u.



No. 3
Crystalline Cs2NbPtF6 at its relaxed geometry. Source: Alexandria via LeMat-Bulk, functional PBE-GGA.

Geometry as CIF:
```
data_Cs2NbPtF6
_symmetry_space_group_name_H-M 'I 4/m m m'
_symmetry_Int_Tables_number 139
_symmetry_space_group_name_Hall '-I 4 2'
_cell_length_a 7.4697
_cell_length_b 7.4697
_cell_length_c 8.2048
_cell_angle_alpha 90.00
_cell_angle_beta 90.00
_cell_angle_gamma 90.00
loop_
_atom_site_label
_atom_site_type_symbol
_atom_site_fract_x
_atom_site_fract_y
_atom_site_fract_z
Cs1 Cs 0.0000 0.5000 0.2500
Nb1 Nb 0.0000 0.0000 0.0000
Pt1 Pt 0.0000 0.0000 0.5000
F1 F 0.0000 0.0000 0.2522
F2 F 0.1893 0.1893 0.0000
```

Output
N(E_F) = 0.97 states/eV/atom
formation energy (no corrections) = -2237 meV per atom
magnetic moment = 1.00 μB/f.u.



No. 4
Crystalline CsRbNbF6 at its relaxed geometry. Source: Alexandria via LeMat-Bulk, functional PBE-GGA.

Geometry as CIF:
```
data_CsRbNbF6
_symmetry_space_group_name_H-M 'P -3 1 c'
_symmetry_Int_Tables_number 163
_symmetry_space_group_name_Hall '-P 3 2c'
_cell_length_a 7.0076
_cell_length_b 7.0076
_cell_length_c 9.4119
_cell_angle_alpha 90.00
_cell_angle_beta 90.00
_cell_angle_gamma 120.00
loop_
_atom_site_label
_atom_site_type_symbol
_atom_site_fract_x
_atom_site_fract_y
_atom_site_fract_z
Cs1 Cs 0.0000 0.0000 0.0000
Rb1 Rb 0.3333 0.6667 0.2500
Nb1 Nb 0.3333 0.6667 0.7500
F1 F 0.0856 0.4199 0.6397
```

Output
N(E_F) = 0.20 states/eV/atom
formation energy (no corrections) = -2955 meV per atom
magnetic moment = 1.00 μB/f.u.



No. 5
Crystalline Cs2NbRuF6 at its relaxed geometry. Source: Alexandria via LeMat-Bulk, functional PBE-GGA.

Geometry as CIF:
```
data_Cs2NbRuF6
_symmetry_space_group_name_H-M 'I 4/m m m'
_symmetry_Int_Tables_number 139
_symmetry_space_group_name_Hall '-I 4 2'
_cell_length_a 6.7056
_cell_length_b 6.7056
_cell_length_c 8.8074
_cell_angle_alpha 90.00
_cell_angle_beta 90.00
_cell_angle_gamma 90.00
loop_
_atom_site_label
_atom_site_type_symbol
_atom_site_fract_x
_atom_site_fract_y
_atom_site_fract_z
Cs1 Cs 0.0000 0.5000 0.2500
Nb1 Nb 0.0000 0.0000 0.0000
Ru1 Ru 0.0000 0.0000 0.5000
F1 F 0.0000 0.0000 0.2459
F2 F 0.2178 0.2178 0.0000
```

Output
N(E_F) = 1.38 states/eV/atom
formation energy (no corrections) = -2046 meV per atom
magnetic moment = 4.47 μB/f.u.



No. 6
Crystalline Cs5NbS4F2 at its relaxed geometry. Source: Alexandria via LeMat-Bulk, functional PBE-GGA.

Geometry as CIF:
```
data_Cs5NbS4F2
_symmetry_space_group_name_H-M 'A m m 2'
_symmetry_Int_Tables_number 38
_symmetry_space_group_name_Hall 'A 2 -2'
_cell_length_a 9.0273
_cell_length_b 12.9945
_cell_length_c 7.8575
_cell_angle_alpha 90.00
_cell_angle_beta 90.00
_cell_angle_gamma 90.00
loop_
_atom_site_label
_atom_site_type_symbol
_atom_site_fract_x
_atom_site_fract_y
_atom_site_fract_z
Cs1 Cs 0.0000 0.0000 0.0000
Cs2 Cs 0.2326 0.1996 0.5917
Nb1 Nb 0.5000 0.0000 0.1048
S1 S 0.2921 0.0000 0.2748
S2 S 0.5000 0.1407 0.9277
F1 F 0.0000 0.2043 0.8577
```

Output
N(E_F) = 0.00 states/eV/atom
formation energy (no corrections) = -1701 meV per atom
magnetic moment = 0.02 μB/f.u.



No. 7
Crystalline Cs2NbSF6 at its relaxed geometry. Source: Alexandria via LeMat-Bulk, functional PBE-GGA.

Geometry as CIF:
```
data_Cs2NbSF6
_symmetry_space_group_name_H-M 'I 4/m m m'
_symmetry_Int_Tables_number 139
_symmetry_space_group_name_Hall '-I 4 2'
_cell_length_a 7.3700
_cell_length_b 7.3700
_cell_length_c 9.6643
_cell_angle_alpha 90.00
_cell_angle_beta 90.00
_cell_angle_gamma 90.00
loop_
_atom_site_label
_atom_site_type_symbol
_atom_site_fract_x
_atom_site_fract_y
_atom_site_fract_z
Cs1 Cs 0.0000 0.5000 0.2500
Nb1 Nb 0.0000 0.0000 0.0000
S1 S 0.0000 0.0000 0.5000
F1 F 0.0000 0.0000 0.2013
F2 F 0.1872 0.1872 0.0000
```

Output
N(E_F) = 0.00 states/eV/atom
formation energy (no corrections) = -2426 meV per atom
magnetic moment = 1.00 μB/f.u.



No. 8
Crystalline Cs2NbSbF6 at its relaxed geometry. Source: Alexandria via LeMat-Bulk, functional PBE-GGA.

Geometry as CIF:
```
data_Cs2NbSbF6
_symmetry_space_group_name_H-M 'I 4/m m m'
_symmetry_Int_Tables_number 139
_symmetry_space_group_name_Hall '-I 4 2'
_cell_length_a 7.7265
_cell_length_b 7.7265
_cell_length_c 8.7046
_cell_angle_alpha 90.00
_cell_angle_beta 90.00
_cell_angle_gamma 90.00
loop_
_atom_site_label
_atom_site_type_symbol
_atom_site_fract_x
_atom_site_fract_y
_atom_site_fract_z
Cs1 Cs 0.0000 0.5000 0.2500
Nb1 Nb 0.0000 0.0000 0.0000
Sb1 Sb 0.0000 0.0000 0.5000
F1 F 0.0000 0.0000 0.2341
F2 F 0.1823 0.1823 0.0000
```

Output
N(E_F) = 0.05 states/eV/atom
formation energy (no corrections) = -2345 meV per atom
magnetic moment = 0.00 μB/f.u.